(1)
CdHgSe2 | GGA-PBEsol | relaxed

Lattice parameters (Å, degrees): 3.3323 3.3323 30.0071 90.00 90.00 120.00
Space group R-3m (No. 166, hexagonal axes)
Inequivalent atoms, fractional coordinates:
Cd 0.0000 0.0000 0.0000
Hg 0.0000 0.0000 0.5000
Se 0.0000 0.0000 0.2675

## Properties
The distance to the lowest polymorph of the same formula comes out at 477.4 meV per atom. The formation energy (no corrections) comes out at 39 kJ/mol of formula units.


(2)
TeF6 | GGA-PBEsol | relaxed

Lattice parameters (Å, degrees): 9.806 8.831 5.128 90.00 90.00 90.00
Space group Pnma (No. 62)
Inequivalent atoms, fractional coordinates:
Te 0.128 0.250 0.093
F 0.014 0.250 0.805
F 0.021 0.102 0.247
F 0.235 0.102 0.939
F 0.241 0.250 0.381

## Properties
The formation energy (no corrections) comes out at -1381 kJ/mol of formula units.


(3)
ZrNClF2 | GGA-PBEsol | relaxed

Lattice parameters (Å, degrees): 4.074 4.074 4.362 90.00 90.00 90.00
Space group P4/mmm (No. 123)
Inequivalent atoms, fractional coordinates:
Zr 0.000 0.000 0.000
N 0.000 0.000 0.500
Cl 0.500 0.500 0.500
F 0.000 0.500 0.000

## Properties
The formation energy (no corrections) comes out at -805 kJ/mol of formula units.


(4)
Ca2ScMo | GGA-PBEsol | relaxed

Lattice parameters (Å, degrees): 3.1937 3.1937 33.1653 90.00 90.00 120.00
Space group R-3m (No. 166, hexagonal axes)
Inequivalent atoms, fractional coordinates:
Ca 0.0000 0.0000 0.2410
Sc 0.0000 0.0000 0.0000
Mo 0.0000 0.0000 0.5000

## Properties
The distance to the lowest polymorph of the same formula comes out at 85.4 meV per atom. For the formation energy, the calculation gives 17.0 kcal/mol of atoms.


| no. | DFT total energy (eV per atom) |
| --- | --- |
| 1 | -2.27 |
| 2 | -4.20 |
| 3 | -6.36 |
| 4 | -4.92 |